Computed, not measured: an optimized crystal structure of BaLi2CrO4 at the GGA+U level of DFT.

Cell and atoms, written as POSCAR:
```
BaLi2CrO4
1.0
-2.7373 2.7373 3.6228
2.7373 -2.7373 3.6228
2.7373 2.7373 -3.6228
Ba Li Cr O
1 2 1 4
direct
0.0000 0.0000 0.0000
0.2500 0.7500 0.5000
0.7500 0.2500 0.5000
0.5000 0.5000 0.0000
0.1623 0.5373 0.0000
0.4627 0.4627 0.6250
0.5373 0.1623 0.0000
0.8377 0.8377 0.3750
```

Computed properties:
Raw total energy = -6.19 eV/atom
Size of the total moment = 2.0 μB per formula unit
SG = I-42m, No. 121